[1]
VASP calculation (PBE-GGA) on a geometry-optimized GdYMgGa structure.

CIF file:
```
data_GdYMgGa
_chemical_formula_sum 'Gd4 Y4 Mg4 Ga4'
_symmetry_space_group_name_H-M 'F -4 3 m'
_symmetry_Int_Tables_number 216
_symmetry_space_group_name_Hall 'F -4 2 3'
_cell_length_a 7.354
_cell_length_b 7.354
_cell_length_c 7.354
_cell_angle_alpha 90.00
_cell_angle_beta 90.00
_cell_angle_gamma 90.00
loop_
_atom_site_label
_atom_site_type_symbol
_atom_site_fract_x
_atom_site_fract_y
_atom_site_fract_z
Gd1 Gd 0.000 0.000 0.000
Y1 Y 0.000 0.000 0.500
Mg1 Mg 0.250 0.250 0.750
Ga1 Ga 0.250 0.250 0.250
```

ρ: 5.7 Mg/m³
energy of formation from the pure elements: -0.354 eV per atom
electronic total energy: -6.65 eV/atom
crystal system: cubic

---

[2]
VASP calculation (PBE-GGA) on a geometry-optimized GdMgZnGa structure.

CIF file:
```
data_GdMgZnGa
_chemical_formula_sum 'Gd4 Mg4 Zn4 Ga4'
_symmetry_space_group_name_H-M 'F -4 3 m'
_symmetry_Int_Tables_number 216
_symmetry_space_group_name_Hall 'F -4 2 3'
_cell_length_a 6.920
_cell_length_b 6.920
_cell_length_c 6.920
_cell_angle_alpha 90.00
_cell_angle_beta 90.00
_cell_angle_gamma 90.00
loop_
_atom_site_label
_atom_site_type_symbol
_atom_site_fract_x
_atom_site_fract_y
_atom_site_fract_z
Gd1 Gd 0.000 0.000 0.000
Mg1 Mg 0.000 0.000 0.500
Zn1 Zn 0.250 0.250 0.250
Ga1 Ga 0.250 0.250 0.750
```

ρ: 6.3 Mg/m³
energy of formation from the pure elements: -0.401 eV per atom
electronic total energy: -5.39 eV/atom
crystal system: cubic

---

[3]
VASP calculation (PBE-GGA) on a geometry-optimized Gd2MnGa6 structure.

CIF file:
```
data_Gd2MnGa6
_chemical_formula_sum 'Gd8 Mn4 Ga24'
_symmetry_space_group_name_H-M 'F m -3 m'
_symmetry_Int_Tables_number 225
_symmetry_space_group_name_Hall '-F 4 2 3'
_cell_length_a 8.783
_cell_length_b 8.783
_cell_length_c 8.783
_cell_angle_alpha 90.00
_cell_angle_beta 90.00
_cell_angle_gamma 90.00
loop_
_atom_site_label
_atom_site_type_symbol
_atom_site_fract_x
_atom_site_fract_y
_atom_site_fract_z
Gd1 Gd 0.250 0.250 0.250
Mn1 Mn 0.000 0.000 0.000
Ga1 Ga 0.000 0.000 0.280
```

ρ: 7.7 Mg/m³
energy of formation from the pure elements: -0.530 eV per atom
electronic total energy: -6.70 eV/atom
crystal system: cubic

---

[4]
VASP calculation (PBE-GGA) on a geometry-optimized GdMnGa structure.

CIF file:
```
data_GdMnGa
_chemical_formula_sum 'Gd1 Mn1 Ga1'
_symmetry_space_group_name_H-M 'P -6 m 2'
_symmetry_Int_Tables_number 187
_symmetry_space_group_name_Hall 'P -6 2'
_cell_length_a 4.4567
_cell_length_b 4.4567
_cell_length_c 3.6696
_cell_angle_alpha 90.00
_cell_angle_beta 90.00
_cell_angle_gamma 120.00
loop_
_atom_site_label
_atom_site_type_symbol
_atom_site_fract_x
_atom_site_fract_y
_atom_site_fract_z
Gd1 Gd 0.0000 0.0000 0.0000
Mn1 Mn 0.6667 0.3333 0.5000
Ga1 Ga 0.3333 0.6667 0.5000
```

ρ: 7.4 Mg/m³
energy of formation from the pure elements: -0.200 eV per atom
electronic total energy: -8.96 eV/atom
crystal system: hexagonal

---

[5]
VASP calculation (PBE-GGA) on a geometry-optimized Gd3Mn3Ga2Si structure.

CIF file:
```
data_Gd3Mn3Ga2Si
_chemical_formula_sum 'Gd3 Mn3 Ga2 Si1'
_symmetry_space_group_name_H-M 'P -6'
_symmetry_Int_Tables_number 174
_symmetry_space_group_name_Hall 'P -6'
_cell_length_a 6.9512
_cell_length_b 6.9512
_cell_length_c 4.2753
_cell_angle_alpha 90.00
_cell_angle_beta 90.00
_cell_angle_gamma 120.00
loop_
_atom_site_label
_atom_site_type_symbol
_atom_site_fract_x
_atom_site_fract_y
_atom_site_fract_z
Gd1 Gd 0.0033 0.4264 0.0000
Mn1 Mn 0.0124 0.7751 0.5000
Ga1 Ga 0.0000 0.0000 0.0000
Ga2 Ga 0.6667 0.3333 0.5000
Si1 Si 0.3333 0.6667 0.5000
```

ρ: 7.5 Mg/m³
raw formation energy: -0.2950 eV/atom
electronic total energy: -9.32 eV/atom
crystal system: hexagonal

---

[6]
VASP calculation (PBE-GGA) on a geometry-optimized TbGdMnGa structure.

CIF file:
```
data_TbGdMnGa
_chemical_formula_sum 'Tb4 Gd4 Mn4 Ga4'
_symmetry_space_group_name_H-M 'F -4 3 m'
_symmetry_Int_Tables_number 216
_symmetry_space_group_name_Hall 'F -4 2 3'
_cell_length_a 7.172
_cell_length_b 7.172
_cell_length_c 7.172
_cell_angle_alpha 90.00
_cell_angle_beta 90.00
_cell_angle_gamma 90.00
loop_
_atom_site_label
_atom_site_type_symbol
_atom_site_fract_x
_atom_site_fract_y
_atom_site_fract_z
Tb1 Tb 0.000 0.000 0.000
Gd1 Gd 0.000 0.000 0.500
Mn1 Mn 0.250 0.250 0.250
Ga1 Ga 0.250 0.250 0.750
```

ρ: 7.9 Mg/m³
energy of formation from the pure elements: -0.166 eV per atom
electronic total energy: -7.89 eV/atom
crystal system: cubic

---

[7]
VASP calculation (PBE-GGA) on a geometry-optimized GdGa2Mo structure.

CIF file:
```
data_GdGa2Mo
_chemical_formula_sum 'Gd3 Ga6 Mo3'
_symmetry_space_group_name_H-M 'R -3 m'
_symmetry_Int_Tables_number 166
_symmetry_space_group_name_Hall '-R 3 2"'
_cell_length_a 3.0582
_cell_length_b 3.0582
_cell_length_c 28.3452
_cell_angle_alpha 90.00
_cell_angle_beta 90.00
_cell_angle_gamma 120.00
loop_
_atom_site_label
_atom_site_type_symbol
_atom_site_fract_x
_atom_site_fract_y
_atom_site_fract_z
Gd1 Gd 0.0000 0.0000 0.0000
Ga1 Ga 0.0000 0.0000 0.2409
Mo1 Mo 0.0000 0.0000 0.5000
```

ρ: 8.5 Mg/m³
energy of formation from the pure elements: 0.030 eV per atom
electronic total energy: -7.71 eV/atom
crystal system: trigonal

---

[8]
VASP calculation (PBE-GGA) on a geometry-optimized Gd2GaN structure.

CIF file:
```
data_Gd2GaN
_chemical_formula_sum 'Gd6 Ga3 N3'
_symmetry_space_group_name_H-M 'R -3 m'
_symmetry_Int_Tables_number 166
_symmetry_space_group_name_Hall '-R 3 2"'
_cell_length_a 3.5789
_cell_length_b 3.5789
_cell_length_c 22.2680
_cell_angle_alpha 90.00
_cell_angle_beta 90.00
_cell_angle_gamma 120.00
loop_
_atom_site_label
_atom_site_type_symbol
_atom_site_fract_x
_atom_site_fract_y
_atom_site_fract_z
Gd1 Gd 0.0000 0.0000 0.2289
Ga1 Ga 0.0000 0.0000 0.0000
N1 N 0.0000 0.0000 0.5000
```

ρ: 8.0 Mg/m³
raw formation energy: -0.9725 eV/atom
electronic total energy: -10.85 eV/atom
crystal system: trigonal

---

[9]
VASP calculation (PBE-GGA) on a geometry-optimized NaGdGa2 structure.

CIF file:
```
data_NaGdGa2
_chemical_formula_sum 'Na1 Gd1 Ga2'
_symmetry_space_group_name_H-M 'P 4/m m m'
_symmetry_Int_Tables_number 123
_symmetry_space_group_name_Hall '-P 4 2'
_cell_length_a 4.991
_cell_length_b 4.991
_cell_length_c 3.688
_cell_angle_alpha 90.00
_cell_angle_beta 90.00
_cell_angle_gamma 90.00
loop_
_atom_site_label
_atom_site_type_symbol
_atom_site_fract_x
_atom_site_fract_y
_atom_site_fract_z
Na1 Na 0.000 0.000 0.000
Gd1 Gd 0.500 0.500 0.000
Ga1 Ga 0.000 0.500 0.500
```

ρ: 5.8 Mg/m³
energy above the lowest structure with this stoichiometry: 0 meV per atom
energy of formation from the pure elements: -0.305 eV per atom
electronic total energy: -5.67 eV/atom
crystal system: tetragonal

---

[10]
VASP calculation (PBE-GGA) on a geometry-optimized NaGd2Ga structure.

CIF file:
```
data_NaGd2Ga
_chemical_formula_sum 'Na3 Gd6 Ga3'
_symmetry_space_group_name_H-M 'R -3 m'
_symmetry_Int_Tables_number 166
_symmetry_space_group_name_Hall '-R 3 2"'
_cell_length_a 3.6317
_cell_length_b 3.6317
_cell_length_c 32.2870
_cell_angle_alpha 90.00
_cell_angle_beta 90.00
_cell_angle_gamma 120.00
loop_
_atom_site_label
_atom_site_type_symbol
_atom_site_fract_x
_atom_site_fract_y
_atom_site_fract_z
Na1 Na 0.0000 0.0000 0.0000
Gd1 Gd 0.0000 0.0000 0.2327
Ga1 Ga 0.0000 0.0000 0.5000
```

ρ: 5.5 Mg/m³
energy of formation from the pure elements: -0.103 eV per atom
electronic total energy: -8.23 eV/atom
crystal system: trigonal

---

[11]
VASP calculation (PBE-GGA) on a geometry-optimized NaGdGa2 structure.

CIF file:
```
data_NaGdGa2
_chemical_formula_sum 'Na4 Gd4 Ga8'
_symmetry_space_group_name_H-M 'F m -3 m'
_symmetry_Int_Tables_number 225
_symmetry_space_group_name_Hall '-F 4 2 3'
_cell_length_a 7.127
_cell_length_b 7.127
_cell_length_c 7.127
_cell_angle_alpha 90.00
_cell_angle_beta 90.00
_cell_angle_gamma 90.00
loop_
_atom_site_label
_atom_site_type_symbol
_atom_site_fract_x
_atom_site_fract_y
_atom_site_fract_z
Na1 Na 0.000 0.000 0.000
Gd1 Gd 0.000 0.000 0.500
Ga1 Ga 0.250 0.250 0.250
```

ρ: 5.9 Mg/m³
energy above the lowest structure with this stoichiometry: 8 meV per atom
energy of formation from the pure elements: -0.297 eV per atom
electronic total energy: -5.66 eV/atom
crystal system: cubic

---

[12]
VASP calculation (PBE-GGA) on a geometry-optimized NaGd2Ga structure.

CIF file:
```
data_NaGd2Ga
_chemical_formula_sum 'Na1 Gd2 Ga1'
_symmetry_space_group_name_H-M 'P 4/m m m'
_symmetry_Int_Tables_number 123
_symmetry_space_group_name_Hall '-P 4 2'
_cell_length_a 3.568
_cell_length_b 3.568
_cell_length_c 9.173
_cell_angle_alpha 90.00
_cell_angle_beta 90.00
_cell_angle_gamma 90.00
loop_
_atom_site_label
_atom_site_type_symbol
_atom_site_fract_x
_atom_site_fract_y
_atom_site_fract_z
Na1 Na 0.000 0.000 0.000
Gd1 Gd 0.500 0.500 0.310
Ga1 Ga 0.000 0.000 0.500
```

ρ: 5.8 Mg/m³
energy of formation from the pure elements: -0.192 eV per atom
electronic total energy: -8.32 eV/atom
crystal system: tetragonal